# PBE+U Na2SiMoO4, relaxed
# M_tot (Bohr magnetons per cell): 8.00
# E_tot (eV/atom): -6.272
# Fermi-level density of states (states/eV per cell): 0.0
data_Na2SiMoO4
_chemical_formula_sum 'Na4 Si2 Mo2 O8'
_symmetry_space_group_name_H-M 'I -4'
_symmetry_Int_Tables_number 82
_cell_length_a 5.865
_cell_length_b 5.865
_cell_length_c 6.239
_cell_angle_alpha 90.00
_cell_angle_beta 90.00
_cell_angle_gamma 90.00
loop_
_symmetry_equiv_pos_as_xyz
'x,y,z'
'y,-x,-z'
'-x,-y,z'
'-y,x,-z'
'x+1/2,y+1/2,z+1/2'
'y+1/2,-x+1/2,-z+1/2'
'-x+1/2,-y+1/2,z+1/2'
'-y+1/2,x+1/2,-z+1/2'
loop_
_atom_site_label
_atom_site_fract_x
_atom_site_fract_y
_atom_site_fract_z
Na1 0.000 0.000 0.000
Na2 0.000 0.500 0.250
Si1 0.000 0.500 0.750
Mo1 0.000 0.000 0.500
O1 0.151 0.330 0.591